No. 1
# La6Pr2TmMg

A relaxed structure of La6Pr2TmMg (PBE-GGA, Alexandria).

a b c (Å): 10.6898 13.9014 9.5174
angles (deg): 90.00 97.97 90.00
Last column: nearest neighbours and their distance in Å.
Space group C2/c (No. 15)
Asymmetric unit:
La 0.0555 0.1225 0.0990 (multiplicity 8)  3 La 3.26-3.56, 2 Mg 3.31-3.45
La 0.0864 0.3335 0.9185 (multiplicity 8)  3 La 3.44-3.53, 1 Pr 3.47, 2 Tm 3.67-3.70, 1 Mg 3.73
La 0.2449 0.2862 0.3238 (multiplicity 8)  1 Tm 3.31, 1 Mg 3.34, 3 La 3.49-3.56, 2 Pr 3.59-3.62
Pr 0.2321 0.4674 0.5897 (multiplicity 8)  1 Tm 3.39, 6 La 3.47-3.76, 1 Mg 3.54
Tm 0.0000 0.4316 0.2500 (multiplicity 4)  6 La 3.31-3.70, 2 Pr 3.39
Mg 0.0000 0.0959 0.7500 (multiplicity 4)  6 La 3.31-3.45, 2 Pr 3.54

Size of the total moment = 0.000 μB/atom
Energy of formation from the pure elements = 0.087 eV per atom
Energy = -4.432 eV per atom

=====

No. 2
# La2PrTmMg

A relaxed structure of La2PrTmMg (PBE-GGA, Alexandria).

a b c (Å): 6.7886 5.6613 8.8742
angles (deg): 90.00 102.88 90.00
Last column: nearest neighbours and their distance in Å.
Space group P2_1/m (No. 11)
Asymmetric unit:
La 0.0454 0.2500 0.3567 (multiplicity 2)  3 Mg 3.43-3.53, 3 Tm 3.60-3.69, 1 Pr 3.72, 1 La 3.73
La 0.1188 0.7500 0.0740 (multiplicity 2)  1 Mg 3.37, 3 La 3.38-3.73, 1 Tm 3.38, 2 Pr 3.64
Pr 0.4641 0.2500 0.1486 (multiplicity 2)  3 Mg 3.39-3.55, 1 Tm 3.51, 3 La 3.64-3.72
Tm 0.3787 0.7500 0.4467 (multiplicity 2)  1 Mg 3.23, 2 Tm 3.31, 3 La 3.38-3.60, 1 Pr 3.51
Mg 0.2670 0.2500 0.7433 (multiplicity 2)  1 Tm 3.23, 4 La 3.37-3.53, 3 Pr 3.39-3.55

Size of the total moment = 0.000 μB/atom
Energy of formation from the pure elements = 0.011 eV per atom
Energy = -4.129 eV per atom

=====

No. 3
# La2Pr6YMg

A relaxed structure of La2Pr6YMg (PBE-GGA, Alexandria).

a b c (Å): 10.7236 13.8121 9.6244
angles (deg): 90.00 99.78 90.00
Last column: nearest neighbours and their distance in Å.
Space group C2/c (No. 15)
Asymmetric unit:
La 0.2347 0.0311 0.0914 (multiplicity 8)  6 Pr 3.44-3.80, 2 Y 3.46-3.82, 1 Mg 3.49
Pr 0.0491 0.3788 0.5950 (multiplicity 8)  2 Mg 3.29-3.47, 3 Pr 3.33-3.60, 1 La 3.59
Pr 0.0911 0.1697 0.4228 (multiplicity 8)  3 Pr 3.40-3.56, 1 La 3.44, 1 Mg 3.65, 2 Y 3.71-3.77
Pr 0.2490 0.2833 0.1746 (multiplicity 8)  1 Mg 3.31, 1 Y 3.34, 3 Pr 3.49-3.60, 2 La 3.57-3.65
Y 0.0000 0.0708 0.7500 (multiplicity 4)  4 Pr 3.34-3.71, 2 La 3.46
Mg 0.0000 0.4005 0.2500 (multiplicity 4)  8 Pr 3.29-3.65, 2 La 3.49

Size of the total moment = 0.000 μB/atom
Energy of formation from the pure elements = 0.102 eV per atom
Energy = -4.557 eV per atom